Material: La2BeTe
Method: DFT, meta-GGA SCAN
State: PBEsol geometry

Fermi-level density of states (states/eV per cell): 3.7
VASP energy (Ry per atom): -2.36335
Total magnetization (μB/cell): 0.0

Geometry as CIF:
```
data_La2BeTe
_chemical_formula_sum 'La2 Be1 Te1'
_space_group_name_H-M_alt 'P 4 m m'
_space_group_IT_number 99
_cell_length_a 3.566
_cell_length_b 3.566
_cell_length_c 8.480
_cell_angle_alpha 90.00
_cell_angle_beta 90.00
_cell_angle_gamma 90.00
loop_
_space_group_symop_operation_xyz
'x,y,z'
'-y,x,z'
'-x,-y,z'
'y,-x,z'
'-x,y,z'
'y,x,z'
'x,-y,z'
'-y,-x,z'
loop_
_atom_site_label
_atom_site_type_symbol
_atom_site_fract_x
_atom_site_fract_y
_atom_site_fract_z
_atom_site_occupancy
La1 La 0.000 0.000 0.000 1
La2 La 0.500 0.500 0.378 1
Be1 Be 0.000 0.000 0.619 1
Te1 Te 0.500 0.500 0.748 1
```